# 1
## LaAsSe (PBE-GGA)

Data for LaAsSe after structural relaxation.

## Properties
- total DFT energy (no corrections) (eV/cell) = -70.38
- magnetic moment (μB per atom) = 0.000
- formation energy (no corrections) (eV/f.u.) = -4.53

a = 4.102 Å, b = 4.102 Å, c = 18.182 Å
α = 90.00°, β = 90.00°, γ = 90.00°
Fractional positions:
La  0.000  0.000  0.140
La  0.000  0.000  0.860
La  0.500  0.500  0.360
La  0.500  0.500  0.640
As  0.000  0.500  0.000
As  0.000  0.500  0.500
As  0.500  0.000  0.000
As  0.500  0.000  0.500
Se  0.000  0.000  0.314
Se  0.000  0.000  0.686
Se  0.500  0.500  0.186
Se  0.500  0.500  0.814


# 2
## LaAsSe (PBE-GGA)

Data for LaAsSe after structural relaxation.

## Properties
- total DFT energy (no corrections) (eV/cell) = -33.14
- magnetic moment (μB per atom) = 0.000
- formation energy (no corrections) (eV/f.u.) = -3.51

a = 4.110 Å, b = 4.110 Å, c = 10.040 Å
α = 90.00°, β = 90.00°, γ = 90.00°
Fractional positions:
La  0.000  0.000  0.000
La  0.500  0.500  0.500
As  0.000  0.000  0.398
As  0.500  0.500  0.898
Se  0.000  0.000  0.645
Se  0.500  0.500  0.145


# 3
## LaAsSe3 (PBE-GGA)

Data for LaAsSe3 after structural relaxation.

## Properties
- total DFT energy (no corrections) (eV/cell) = -19.45
- polymorph energy (0 for the lowest one) (eV per formula unit) = 5.84
- magnetic moment (μB per atom) = 0.000
- formation energy (no corrections) (eV/f.u.) = 0.58

a = 5.799 Å, b = 5.799 Å, c = 5.799 Å
α = 90.00°, β = 90.00°, γ = 90.00°
Fractional positions:
La  0.000  0.000  0.000
As  0.500  0.500  0.500
Se  0.000  0.000  0.500
Se  0.000  0.500  0.000
Se  0.500  0.000  0.000